Density functional theory data (GGA-PBE) for an optimized crystal structure of KCu4Sb3O12.

Properties
DOS(E_F): 10.3 states/eV per cell
Mass density: 5.1 Mg/m³
Energy relative to the elements, uncorrected: -989 meV per atom
Space group: R32

Cell lengths 6.943, 6.943, 6.943 Å; angles 107.25, 107.25, 107.25 degrees
Element x y z (fractional)
K (0.000, 0.000, 0.000)
Cu (0.930, 0.070, 0.500)
Cu (0.070, 0.500, 0.930)
Cu (0.500, 0.930, 0.070)
Cu (0.500, 0.500, 0.500)
Sb (0.563, 0.437, 0.000)
Sb (0.437, 0.000, 0.563)
Sb (0.000, 0.563, 0.437)
O (0.500, 0.330, 0.670)
O (0.899, 0.500, 0.101)
O (0.101, 0.899, 0.500)
O (0.500, 0.101, 0.899)
O (0.353, 0.956, 0.253)
O (0.253, 0.353, 0.956)
O (0.956, 0.253, 0.353)
O (0.647, 0.747, 0.044)
O (0.044, 0.647, 0.747)
O (0.747, 0.044, 0.647)
O (0.670, 0.500, 0.330)
O (0.330, 0.670, 0.500)